4
Lattice="2.840 0.000 0.000 -1.420 2.460 0.000 0.000 0.000 8.980" Properties=species:S:1:pos:R:3 comment="AlZn3 PBE optimized geometry" sg="P-6m2, No. 187" n_ef_per_ev_atom=0.32 total_energy_ev_per_fu=-7.36 formation_enthalpy_0k_ev_per_atom=0.050 crystal_system=hexagonal pbc="T T T"
Zn 0.000 0.000 4.490
Zn 1.420 0.820 2.277
Zn 1.420 0.820 6.703
Al 0.000 0.000 0.000